Entry 1:
Mg2Pd4Pt3 | Alexandria | PBE | optimized geometry; E_form = -0.46 eV per atom; total magnetic moment = 0.0 Bohr magnetons per cell; space group = P-1
1.0
4.037 0.000 0.000
-2.018 4.357 0.000
-0.015 -2.402 8.008
Mg Pd Pt
2 4 3
Cartesian
-0.002 0.922 1.766
2.005 1.033 6.243
-0.013 -0.690 7.127
-0.004 3.542 2.668
2.008 -1.587 5.341
2.017 2.645 0.881
-0.009 0.122 4.411
2.018 0.000 0.000
2.013 1.832 3.598


Entry 2:
Nd2Zn7Pt | Alexandria | PBE | optimized geometry; E_form = -0.40 eV per atom; total magnetic moment = 0.0 Bohr magnetons per cell; space group = P-4m2
1.0
4.251 0.000 0.000
0.000 4.251 0.000
0.000 0.000 10.586
Nd Zn Pt
2 7 1
Cartesian
0.000 2.126 2.643
2.126 0.000 7.943
0.000 0.000 0.000
0.000 0.000 5.293
0.000 2.126 6.684
0.000 2.126 9.149
2.126 0.000 1.437
2.126 0.000 3.902
2.126 2.126 5.293
2.126 2.126 0.000


Entry 3:
Ca3Cl | Alexandria | PBE | optimized geometry; total magnetic moment = 0.0 Bohr magnetons per cell; raw formation energy = -0.673 eV per atom; space group = P4/mmm
1.0
3.656 0.000 0.000
0.000 3.656 0.000
0.000 0.000 10.054
Ca Cl
3 1
Cartesian
0.000 0.000 0.000
1.828 1.828 2.883
1.828 1.828 7.170
0.000 0.000 5.027


Entry 4:
UGaAu2 | Alexandria | PBE | optimized geometry; E_form = -0.21 eV per atom; total magnetic moment = 2.3 Bohr magnetons per cell; space group = P2_1/m
1.0
6.454 0.000 0.000
0.000 3.708 0.000
-0.332 0.000 6.549
U Ga Au
2 2 4
Cartesian
0.492 0.927 2.675
5.631 2.781 3.873
2.130 2.781 4.567
3.993 0.927 1.982
0.597 0.927 5.971
2.387 2.781 1.117
3.736 0.927 5.432
5.526 2.781 0.578


Entry 5:
BaMnW2 | Alexandria | PBE | optimized geometry; E_form = 1.11 eV per atom; total magnetic moment = 6.0 Bohr magnetons per cell; space group = Imm2
1.0
3.433 0.000 0.000
0.000 4.067 0.000
0.000 0.000 14.443
Ba Mn W
2 2 4
Cartesian
0.000 0.000 0.000
1.716 2.033 7.221
0.000 2.033 11.126
1.716 0.000 3.904
0.000 0.000 9.573
0.000 2.033 4.130
1.716 0.000 11.351
1.716 2.033 2.352


Entry 6:
NdSm2Ni | Alexandria | PBE | optimized geometry; E_form = -0.19 eV per atom; total magnetic moment = 0.0 Bohr magnetons per cell; space group = Pnma
1.0
7.008 0.000 0.000
0.000 9.868 0.000
0.000 0.000 6.485
Nd Sm Ni
4 8 4
Cartesian
0.240 2.467 0.922
3.264 7.401 4.164
3.744 2.467 2.320
6.768 7.401 5.563
1.238 0.658 4.374
1.238 4.276 4.374
2.266 5.592 1.132
2.266 9.210 1.132
4.742 0.658 5.353
4.742 4.276 5.353
5.770 5.592 2.111
5.770 9.210 2.111
0.783 7.401 2.797
2.720 2.467 6.040
4.287 7.401 0.445
6.224 2.467 3.687


Number 1: density of states at the Fermi level 9.65 states/eV/f.u.. Number 2: density of states at the Fermi level 7.62 states/eV/f.u.. Number 3: density of states at the Fermi level 2.28 states/eV/f.u.. Number 4: density of states at the Fermi level 4.47 states/eV/f.u.. Number 5: density of states at the Fermi level 4.61 states/eV/f.u.. Number 6: density of states at the Fermi level 4.16 states/eV/f.u..